Entry 1:
# Li2DyUTe4

A relaxed Li2DyUTe4 crystal (GGA-PBE, Alexandria via LeMat-Bulk).

Cell lengths 7.513, 4.326, 7.529 Å; angles 90.00, 109.42, 90.00 degrees
Space group P2/m (No. 10)
One atom of each set of equivalent atoms:
Li 0.000 0.000 0.000 [1 per cell]
Li 0.500 0.500 0.000 [1 per cell]
Dy 0.000 0.500 0.500 [1 per cell]
U 0.500 0.000 0.500 [1 per cell]
Te 0.244 0.500 0.241 [2 per cell]
Te 0.250 0.000 0.758 [2 per cell]

Calculated values
- DOS at the Fermi energy: 8.54 states/eV/cell

***

Entry 2:
# Li3DyY2Te6

A relaxed Li3DyY2Te6 crystal (GGA-PBE, Alexandria via LeMat-Bulk).

Cell lengths 7.523, 13.032, 7.494 Å; angles 90.00, 109.55, 90.00 degrees
Space group C2/m (No. 12)
One atom of each set of equivalent atoms:
Li 0.000 0.000 0.000 [2 per cell]
Li 0.000 0.333 0.000 [4 per cell]
Dy 0.000 0.500 0.500 [2 per cell]
Y 0.000 0.167 0.500 [4 per cell]
Te 0.248 0.167 0.244 [8 per cell]
Te 0.248 0.500 0.244 [4 per cell]

***

Entry 3:
# Li2DyYTe4

A relaxed Li2DyYTe4 crystal (GGA-PBE, Alexandria via LeMat-Bulk).

Cell lengths 7.491, 4.346, 7.520 Å; angles 90.00, 109.52, 90.00 degrees
Space group P2/m (No. 10)
One atom of each set of equivalent atoms:
Li 0.000 0.000 0.000 [1 per cell]
Li 0.000 0.500 0.500 [1 per cell]
Dy 0.500 0.000 0.500 [1 per cell]
Y 0.500 0.500 0.000 [1 per cell]
Te 0.244 0.000 0.748 [2 per cell]
Te 0.245 0.500 0.249 [2 per cell]

***

How do the records compare in E_form (uncorrected)? In the order shown, they have -1009 -1302 -1299 meV per atom.
How do the records compare in ρ? In the order shown, they have 6.65 5.40 5.58 g/cm³.